A plane-wave DFT calculation with GGA-PBE was carried out for a relaxed Na2CdB2Pd5 crystal.

Results
D(E_F): 0.36 states/eV per atom
DFT formation energy: -0.26 eV/atom

Geometry as CIF:
```
data_Na2CdB2Pd5
_cell_length_a 10.139
_cell_length_b 10.139
_cell_length_c 2.962
_cell_angle_alpha 90.00
_cell_angle_beta 90.00
_cell_angle_gamma 90.00
_space_group_name_H-M_alt 'P 4/m b m'
_space_group_IT_number 127
_space_group_name_Hall '-P 4 2ab'
loop_
_atom_site_label
_atom_site_fract_x
_atom_site_fract_y
_atom_site_fract_z
_atom_site_occupancy
Na1 0.179 0.321 0.000 1
Cd1 0.000 0.000 0.000 1
B1 0.122 0.622 0.000 1
Pd1 0.000 0.500 0.500 1
Pd2 0.068 0.768 0.500 1
```